1.
SmB6Ir12 after structural relaxation. Source: Alexandria via LeMat-Bulk, functional PBE-GGA.

Values from the calculation:
Calculated total energy = -156.25 eV per cell
Energy of formation = -0.270 eV per atom
Density of states at the Fermi level = 0.73 states/eV/atom
SG = R-3m (166)
Crystal system = trigonal

a = 6.552 Å, b = 6.552 Å, c = 6.552 Å
α = 104.01°, β = 104.01°, γ = 104.01°
Element x y z (fractional)
Sm 0.000 0.000 0.000
B 0.230 0.230 0.666
B 0.230 0.666 0.230
B 0.334 0.770 0.770
B 0.666 0.230 0.230
B 0.770 0.334 0.770
B 0.770 0.770 0.334
Ir 0.135 0.500 0.865
Ir 0.135 0.865 0.500
Ir 0.185 0.446 0.446
Ir 0.446 0.185 0.446
Ir 0.446 0.446 0.185
Ir 0.500 0.135 0.865
Ir 0.500 0.865 0.135
Ir 0.554 0.554 0.815
Ir 0.554 0.815 0.554
Ir 0.815 0.554 0.554
Ir 0.865 0.135 0.500
Ir 0.865 0.500 0.135

2.
AlPPb2 after structural relaxation. Source: Alexandria via LeMat-Bulk, functional PBE-GGA.

Values from the calculation:
Distance to the lowest polymorph of the same formula = 0.2834 eV/atom
Calculated total energy = -30.91 eV per cell
Energy of formation = 0.279 eV per atom
Density of states at the Fermi level = 0.05 states/eV/atom
SG = I-42d (122)
Crystal system = tetragonal

a = 7.763 Å, b = 7.763 Å, c = 7.763 Å
α = 131.72°, β = 131.72°, γ = 70.67°
Element x y z (fractional)
Al 0.000 0.000 0.000
Al 0.750 0.250 0.500
P 0.250 0.750 0.500
P 0.500 0.500 0.000
Pb 0.131 0.625 0.006
Pb 0.375 0.381 0.506
Pb 0.619 0.125 0.994
Pb 0.875 0.869 0.494

3.
UTc6P4 after structural relaxation. Source: Alexandria via LeMat-Bulk, functional PBE-GGA.

Values from the calculation:
Distance to the lowest polymorph of the same formula = 0.0000 eV/atom
Calculated total energy = -101.03 eV per cell
Energy of formation = -0.537 eV per atom
Density of states at the Fermi level = 0.83 states/eV/atom
SG = P-6m2 (187)
Crystal system = hexagonal

a = 7.499 Å, b = 7.499 Å, c = 3.271 Å
α = 90.00°, β = 90.00°, γ = 120.00°
Element x y z (fractional)
U 0.000 0.000 0.000
Tc 0.196 0.391 0.500
Tc 0.196 0.804 0.500
Tc 0.540 0.080 0.000
Tc 0.540 0.460 0.000
Tc 0.609 0.804 0.500
Tc 0.920 0.460 0.000
P 0.333 0.667 0.000
P 0.368 0.184 0.500
P 0.816 0.184 0.500
P 0.816 0.632 0.500

4.
Be2ReTe after structural relaxation. Source: Alexandria via LeMat-Bulk, functional PBE-GGA.

Values from the calculation:
Calculated total energy = -20.64 eV per cell
ΔE_f (raw) = 602 meV per atom
Density of states at the Fermi level = 0.39 states/eV/atom
SG = Cmmm (65)
Crystal system = orthorhombic

a = 2.826 Å, b = 2.826 Å, c = 8.295 Å
α = 90.00°, β = 90.00°, γ = 104.96°
Element x y z (fractional)
Be 0.000 0.000 0.190
Be 0.000 0.000 0.810
Re 0.500 0.500 0.000
Te 0.500 0.500 0.500

5.
Tl2TeBr2 after structural relaxation. Source: Alexandria via LeMat-Bulk, functional PBE-GGA.

Values from the calculation:
Distance to the lowest polymorph of the same formula = 0.0000 eV/atom
Calculated total energy = -25.81 eV per cell
ΔE_f (raw) = -337 meV per atom
Density of states at the Fermi level = 0.84 states/eV/atom
SG = P4/mbm (127)
Crystal system = tetragonal

a = 9.055 Å, b = 9.055 Å, c = 3.935 Å
α = 90.00°, β = 90.00°, γ = 90.00°
Element x y z (fractional)
Tl 0.170 0.330 0.000
Tl 0.330 0.830 0.000
Tl 0.670 0.170 0.000
Tl 0.830 0.670 0.000
Te 0.000 0.000 0.000
Te 0.500 0.500 0.000
Br 0.137 0.637 0.500
Br 0.363 0.137 0.500
Br 0.637 0.863 0.500
Br 0.863 0.363 0.500

6.
Sm2Mg3Ga4 after structural relaxation. Source: Alexandria via LeMat-Bulk, functional PBE-GGA.

Values from the calculation:
Calculated total energy = -59.40 eV per cell
Energy of formation = -0.374 eV per atom
Density of states at the Fermi level = 0.62 states/eV/atom
SG = Cmce (64)
Crystal system = orthorhombic

a = 8.823 Å, b = 8.823 Å, c = 7.779 Å
α = 90.00°, β = 90.00°, γ = 139.49°
Element x y z (fractional)
Sm 0.099 0.901 0.904
Sm 0.401 0.599 0.404
Sm 0.599 0.401 0.596
Sm 0.901 0.099 0.096
Mg 0.000 0.000 0.500
Mg 0.016 0.484 0.750
Mg 0.484 0.016 0.250
Mg 0.500 0.500 0.000
Mg 0.516 0.984 0.750
Mg 0.984 0.516 0.250
Ga 0.166 0.834 0.521
Ga 0.184 0.316 0.750
Ga 0.316 0.184 0.250
Ga 0.334 0.666 0.021
Ga 0.666 0.334 0.979
Ga 0.684 0.816 0.750
Ga 0.816 0.684 0.250
Ga 0.834 0.166 0.479

7.
Cs2Tl6HgPd after structural relaxation. Source: Alexandria via LeMat-Bulk, functional PBE-GGA.

Values from the calculation:
Calculated total energy = -43.57 eV per cell
Energy of formation = -0.039 eV per atom
Density of states at the Fermi level = 0.71 states/eV/atom
SG = R-3m (166)
Crystal system = trigonal

a = 13.289 Å, b = 13.289 Å, c = 13.289 Å
α = 37.70°, β = 37.70°, γ = 37.70°
Element x y z (fractional)
Cs 0.145 0.145 0.145
Cs 0.286 0.286 0.286
Cs 0.714 0.714 0.714
Cs 0.855 0.855 0.855
Tl 0.168 0.590 0.590
Tl 0.188 0.188 0.781
Tl 0.188 0.781 0.188
Tl 0.219 0.812 0.812
Tl 0.410 0.410 0.832
Tl 0.410 0.832 0.410
Tl 0.590 0.168 0.590
Tl 0.590 0.590 0.168
Tl 0.781 0.188 0.188
Tl 0.812 0.219 0.812
Tl 0.812 0.812 0.219
Tl 0.832 0.410 0.410
Hg 0.380 0.380 0.380
Hg 0.620 0.620 0.620
Pd 0.000 0.000 0.000
Pd 0.500 0.500 0.500

8.
Sm8Mg after structural relaxation. Source: Alexandria via LeMat-Bulk, functional PBE-GGA.

Values from the calculation:
Distance to the lowest polymorph of the same formula = 0.0000 eV/atom
Calculated total energy = -39.18 eV per cell
Energy of formation = 0.019 eV per atom
Density of states at the Fermi level = 1.50 states/eV/atom
SG = C2/m (12)
Crystal system = monoclinic

a = 8.024 Å, b = 8.024 Å, c = 8.010 Å
α = 95.75°, β = 95.75°, γ = 143.01°
Element x y z (fractional)
Sm 0.165 0.835 0.000
Sm 0.166 0.166 0.332
Sm 0.167 0.499 0.667
Sm 0.499 0.167 0.667
Sm 0.501 0.833 0.333
Sm 0.833 0.501 0.333
Sm 0.834 0.834 0.668
Sm 0.835 0.165 0.000
Mg 0.500 0.500 0.000